(1)
{
  "formula": "SrMg10Ga3",
  "functional": "PBE-GGA",
  "state": "optimized geometry",
  "lattice": [[8.609, 0.000, 4.970], [2.870, 8.117, 4.970], [0.000, 0.000, 9.941]],
  "species": ["Sr", "Sr", "Mg", "Mg", "Mg", "Mg", "Mg", "Mg", "Mg", "Mg", "Mg", "Mg", "Mg", "Mg", "Mg", "Mg", "Mg", "Mg", "Mg", "Mg", "Mg", "Mg", "Ga", "Ga", "Ga", "Ga", "Ga", "Ga"],
  "frac_coords": [[0.250, 0.250, 0.250], [0.750, 0.750, 0.750], [0.000, 0.000, 0.344], [0.000, 0.344, 0.000], [0.344, 0.000, 0.000], [0.656, 0.344, 0.000], [0.388, 0.388, 0.388], [0.165, 0.612, 0.612], [0.388, 0.835, 0.388], [0.656, 0.000, 0.344], [0.388, 0.388, 0.835], [0.835, 0.388, 0.388], [0.612, 0.612, 0.165], [0.000, 0.000, 0.656], [0.344, 0.656, 0.000], [0.000, 0.656, 0.344], [0.000, 0.344, 0.656], [0.656, 0.000, 0.000], [0.612, 0.612, 0.612], [0.000, 0.656, 0.000], [0.612, 0.165, 0.612], [0.344, 0.000, 0.656], [0.736, 0.736, 0.264], [0.736, 0.264, 0.736], [0.264, 0.736, 0.736], [0.264, 0.264, 0.736], [0.736, 0.264, 0.264], [0.264, 0.736, 0.264]]
}


(2)
{
  "formula": "SrMg22Ga6",
  "functional": "PBE-GGA",
  "state": "optimized geometry",
  "lattice": [[8.498, 0.000, 4.906], [2.833, 8.012, 4.906], [0.000, 0.000, 9.813]],
  "species": ["Sr", "Mg", "Mg", "Mg", "Mg", "Mg", "Mg", "Mg", "Mg", "Mg", "Mg", "Mg", "Mg", "Mg", "Mg", "Mg", "Mg", "Mg", "Mg", "Mg", "Mg", "Mg", "Mg", "Ga", "Ga", "Ga", "Ga", "Ga", "Ga"],
  "frac_coords": [[0.000, 0.000, 0.000], [0.750, 0.750, 0.750], [0.250, 0.250, 0.250], [0.619, 0.619, 0.142], [0.619, 0.619, 0.619], [0.619, 0.142, 0.619], [0.142, 0.619, 0.619], [0.381, 0.381, 0.858], [0.381, 0.381, 0.381], [0.381, 0.858, 0.381], [0.858, 0.381, 0.381], [0.648, 0.000, 0.352], [0.000, 0.648, 0.352], [0.000, 0.000, 0.352], [0.000, 0.648, 0.000], [0.648, 0.000, 0.000], [0.000, 0.000, 0.648], [0.000, 0.352, 0.000], [0.000, 0.352, 0.648], [0.648, 0.352, 0.000], [0.352, 0.000, 0.648], [0.352, 0.000, 0.000], [0.352, 0.648, 0.000], [0.263, 0.737, 0.263], [0.737, 0.263, 0.263], [0.737, 0.737, 0.263], [0.737, 0.263, 0.737], [0.263, 0.737, 0.737], [0.263, 0.263, 0.737]]
}


(3)
{
  "formula": "SrMgGa",
  "functional": "PBE-GGA",
  "state": "optimized geometry",
  "lattice": [[3.701, 0.000, 0.000], [0.000, 3.701, 0.000], [-1.850, -1.850, 6.084]],
  "species": ["Sr", "Mg", "Ga"],
  "frac_coords": [[0.010, 0.010, 0.019], [0.301, 0.301, 0.602], [0.689, 0.689, 0.379]]
}


The formation energy results, record by record, are as follows: -0.05 -0.08 -0.18 eV per atom.
The M_tot results, record by record, are as follows: 0.0 0.0 0.0 Bohr magnetons per cell.
The total energy results, record by record, are as follows: -54.79 -57.24 -6.86 eV for the cell shown.